This record from the Alexandria database describes Sr3Tl2 after structural relaxation. The functional is PBE.

Summary:
E_form = -22.8 kJ/mol of atoms
Excess energy over the best structure of this formula in the dataset = 0.57 eV/f.u.
N(E_F) = 1.117 states/eV/atom
Crystal system = trigonal

Lattice parameters (Å, degrees): 7.8467 7.8467 23.5457 90.00 90.00 120.00
Space group R-3c (No. 167, hexagonal axes)
Unique sites:
1 Sr 0.0000 0.4083 0.2500 (multiplicity 18)
2 Tl 0.0000 0.0000 0.1862 (multiplicity 12)